Material: Tl4WF10
Method: DFT, PBE with a Hubbard U
State: optimized geometry

abc: 6.5013 7.6103 7.6103
angles: 79.49 64.71 64.71
Last column: nearest neighbours and their distance in Å.
Fractional coordinates of all 15 atoms:
F 0.7500 0.5000 0.5000  4 Tl 2.60
F 0.2500 0.5000 0.5000  4 Tl 2.60
F 0.8957 0.7742 0.0773  1 W 2.01
F 0.6699 0.0773 0.2258  1 W 2.01
F 0.0270 0.0773 0.2258  1 W 2.01
F 0.7472 0.2258 0.9227  1 W 2.01
F 0.2528 0.7742 0.0773  1 W 2.01
F 0.9730 0.9227 0.7742  1 W 2.01
F 0.3301 0.9227 0.7742  1 W 2.01
F 0.1043 0.2258 0.9227  1 W 2.01
Tl 0.5944 0.2196 0.5916  2 F 2.60
Tl 0.1860 0.4084 0.2196  2 F 2.60
Tl 0.8140 0.5916 0.7804  2 F 2.60
Tl 0.4056 0.7804 0.4084  2 F 2.60
W 0.0000 0.0000 0.0000  8 F 2.01

Computed properties:
DFT total energy, eV per atom: -4.483
Space-group type: I4/m, No. 87
Size of the total moment, μB per formula unit: 0.0